No. 1
DFT (PBE-GGA) results for a relaxed HoAlHg2 crystal.

a b c (Å): 6.4953 11.1891 4.8743
angles (deg): 90.00 90.00 90.00
Positions (direct):
1 Ho 0.0000 0.1660 0.2500
2 Ho 0.0000 0.8340 0.7500
3 Ho 0.5000 0.3340 0.7500
4 Ho 0.5000 0.6660 0.2500
5 Al 0.0000 0.3491 0.7500
6 Al 0.0000 0.6509 0.2500
7 Al 0.5000 0.1509 0.2500
8 Al 0.5000 0.8491 0.7500
9 Hg 0.2443 0.4098 0.2500
10 Hg 0.2443 0.5902 0.7500
11 Hg 0.2557 0.0902 0.7500
12 Hg 0.2557 0.9098 0.2500
13 Hg 0.7443 0.0902 0.7500
14 Hg 0.7443 0.9098 0.2500
15 Hg 0.7557 0.4098 0.2500
16 Hg 0.7557 0.5902 0.7500

Summary:
theoretical density = 11.121 g/cm3
calculated total energy = -0.0928 hartree per atom

=====

No. 2
DFT (PBE-GGA) results for a relaxed InIr7 crystal.

a b c (Å): 2.7649 2.7649 43.7042
angles (deg): 90.00 90.00 90.00
Positions (direct):
1 In 0.2500 0.2500 0.1630
2 In 0.7500 0.7500 0.8370
3 Ir 0.2500 0.2500 0.2581
4 Ir 0.2500 0.2500 0.3464
5 Ir 0.2500 0.2500 0.4341
6 Ir 0.2500 0.2500 0.5220
7 Ir 0.2500 0.2500 0.6097
8 Ir 0.2500 0.2500 0.6979
9 Ir 0.2500 0.2500 0.7847
10 Ir 0.7500 0.7500 0.2153
11 Ir 0.7500 0.7500 0.3021
12 Ir 0.7500 0.7500 0.3903
13 Ir 0.7500 0.7500 0.4780
14 Ir 0.7500 0.7500 0.5659
15 Ir 0.7500 0.7500 0.6536
16 Ir 0.7500 0.7500 0.7419

Summary:
theoretical density = 14.516 g/cm3
calculated total energy = -0.2944 hartree per atom

=====

No. 3
DFT (PBE-GGA) results for a relaxed HfIn2Ni crystal.

a b c (Å): 6.7344 6.7344 6.7344
angles (deg): 90.00 90.00 90.00
Positions (direct):
1 Hf 0.0000 0.0000 0.0000
2 Hf 0.0000 0.5000 0.5000
3 Hf 0.5000 0.0000 0.5000
4 Hf 0.5000 0.5000 0.0000
5 In 0.0000 0.0000 0.5000
6 In 0.0000 0.5000 0.0000
7 In 0.2500 0.2500 0.2500
8 In 0.2500 0.7500 0.7500
9 In 0.5000 0.0000 0.0000
10 In 0.5000 0.5000 0.5000
11 In 0.7500 0.2500 0.7500
12 In 0.7500 0.7500 0.2500
13 Ni 0.2500 0.2500 0.7500
14 Ni 0.2500 0.7500 0.2500
15 Ni 0.7500 0.2500 0.2500
16 Ni 0.7500 0.7500 0.7500

Summary:
theoretical density = 10.152 g/cm3
calculated total energy = -0.1906 hartree per atom

=====

Q: What is the theoretical density in the third record?
A: 10.152 g/cm3

=====

Q: The lowest theoretical density belongs to which entry?
A: HfIn2Ni

=====

Q: The highest theoretical density belongs to which entry?
A: InIr7